[1]
VASP calculation (GGA-PBE) on a geometry-optimized PuAg2Au4 structure.

extended XYZ file:
```
14
Lattice="8.995 0.000 0.000 0.000 7.224 0.000 -3.236 0.000 4.346" Properties=species:S:1:pos:R:3 pbc="T T T"
Pu 0.000 0.000 0.000
Pu 4.498 3.612 0.000
Ag -0.809 3.612 1.087
Ag -2.427 3.612 3.260
Ag 3.688 0.000 1.087
Ag 2.071 0.000 3.260
Au -0.489 1.418 3.030
Au -0.489 5.805 3.030
Au 1.751 2.193 1.316
Au 1.751 5.030 1.316
Au 4.008 2.193 3.030
Au 4.008 5.030 3.030
Au 6.248 1.418 1.316
Au 6.248 5.805 1.316
```

***

[2]
VASP calculation (GGA-PBE) on a geometry-optimized PuAgAu structure.

extended XYZ file:
```
6
Lattice="3.664 0.000 0.000 0.000 3.664 0.000 0.000 0.000 9.998" Properties=species:S:1:pos:R:3 pbc="T T T"
Pu 0.000 0.000 0.000
Pu 1.832 1.832 4.999
Ag 0.000 0.000 3.147
Ag 1.832 1.832 8.146
Au 0.000 0.000 6.713
Au 1.832 1.832 1.714
```

***

[3]
VASP calculation (GGA-PBE) on a geometry-optimized PuAgAu3 structure.

extended XYZ file:
```
10
Lattice="1.489 -14.034 0.000 1.489 14.034 0.000 0.000 0.000 4.829" Properties=species:S:1:pos:R:3 pbc="T T T"
Pu 1.489 11.865 3.622
Pu 1.489 -11.865 1.207
Ag 1.489 7.904 1.207
Ag 1.489 -7.904 3.622
Au 1.489 5.105 1.207
Au 1.489 3.586 3.622
Au 1.489 0.729 3.622
Au 1.489 -0.729 1.207
Au 1.489 -3.586 1.207
Au 1.489 -5.105 3.622
```

***

| no. | electronic total energy (eV per atom) |
| --- | --- |
| 1 | -4.964 |
| 2 | -7.000 |
| 3 | -5.670 |